Below is crystalline Th4SbC at its relaxed geometry, with properties calculated at the PBE-GGA level.

Unit cell a=6.280 b=7.291 c=8.075 alpha=105.15 beta=112.79 gamma=90.05
Space group P-1 (No. 2)
Asymmetric unit:
Th 0.011 0.465 0.191 x2
Th 0.181 0.964 0.191 x2
Th 0.232 0.837 0.619 x2
Th 0.386 0.336 0.618 x2
Sb 0.385 0.250 0.000 x2
C 0.000 0.500 0.500 x1
C 0.500 0.000 0.500 x1

Its uncorrected formation energy is -330 meV/atom. The density of states at the Fermi level is 1.024 states/eV per atom. The calculation puts the total energy at -7.50 eV per atom.

---

Below is crystalline Th6Sb2C at its relaxed geometry, with properties calculated at the PBE-GGA level.

Unit cell a=6.488 b=7.968 c=11.873 alpha=90.00 beta=121.51 gamma=90.00
Space group P2_1/c (No. 14)
Asymmetric unit:
Th 0.127 0.173 0.468 x4
Th 0.320 0.708 0.460 x4
Th 0.361 0.014 0.251 x4
Sb 0.170 0.107 0.756 x4
C 0.500 0.000 0.500 x2

Its uncorrected formation energy is -448 meV/atom. The density of states at the Fermi level is 1.015 states/eV per atom. The calculation puts the total energy at -7.34 eV per atom.

---

Below is crystalline Th5Sb3C at its relaxed geometry, with properties calculated at the PBE-GGA level.

Unit cell a=9.2952 b=9.2952 c=6.5004 alpha=90.00 beta=90.00 gamma=120.00
Space group P6_3/mcm (No. 193)
Asymmetric unit:
Th 0.0000 0.2248 0.2500 x6
Th 0.3333 0.6667 0.0000 x4
Sb 0.0000 0.3985 0.7500 x6
C 0.0000 0.0000 0.0000 x2

Its uncorrected formation energy is -793 meV/atom. The density of states at the Fermi level is 0.630 states/eV per atom. The calculation puts the total energy at -7.31 eV per atom.

---

Below is crystalline Th2SbC at its relaxed geometry, with properties calculated at the PBE-GGA level.

Unit cell a=4.719 b=4.719 c=9.365 alpha=90.00 beta=90.00 gamma=90.00
Space group P4/nmm (No. 129, origin choice 2)
Asymmetric unit:
Th 0.250 0.250 0.161 x2
Th 0.250 0.750 0.500 x2
Sb 0.250 0.250 0.801 x2
C 0.250 0.250 0.406 x2

Its uncorrected formation energy is -609 meV/atom. The density of states at the Fermi level is 0.459 states/eV per atom. The calculation puts the total energy at -7.66 eV per atom.

---

Below is crystalline Th3SbC2 at its relaxed geometry, with properties calculated at the PBE-GGA level.

Unit cell a=3.660 b=11.431 c=6.677 alpha=90.00 beta=90.00 gamma=90.00
Space group Pmc2_1 (No. 26)
Asymmetric unit:
Th 0.000 0.092 0.000 x2
Th 0.500 0.173 0.521 x2
Th 0.500 0.392 0.867 x2
Sb 0.000 0.369 0.273 x2
C 0.000 0.261 0.764 x2
C 0.500 0.004 0.265 x2

Its uncorrected formation energy is -372 meV/atom. For the energy above the lowest structure with this stoichiometry, the calculation gives 81 meV/atom. The density of states at the Fermi level is 0.726 states/eV per atom. The calculation puts the total energy at -7.84 eV per atom.

---

Below is crystalline Th8SbC4 at its relaxed geometry, with properties calculated at the PBE-GGA level.

Unit cell a=11.238 b=11.238 c=11.238 alpha=90.00 beta=90.00 gamma=90.00
Space group F-43m (No. 216)
Asymmetric unit:
Th 0.103 0.103 0.103 x16
Th 0.138 0.138 0.638 x16
Sb 0.250 0.250 0.250 x4
C 0.131 0.131 0.869 x16

Its uncorrected formation energy is 36 meV/atom. The density of states at the Fermi level is 1.137 states/eV per atom. The calculation puts the total energy at -7.69 eV per atom.